[1]
Entry from Alexandria: a geometry-optimized BaCeAl2Ge2 structure (PBE).

Unit cell a=4.301 b=4.301 c=9.483 alpha=90.00 beta=90.00 gamma=120.00
Element x y z (fractional)
Ba 0.000 0.000 0.000
Ce 0.000 0.000 0.500
Al 0.333 0.667 0.710
Al 0.667 0.333 0.290
Ge 0.333 0.667 0.259
Ge 0.667 0.333 0.741

Properties
Total moment ... 0.69 μB/f.u.
E_tot ... -4.6016 eV per atom
Space-group type ... P-3m1 (164)
DOS(E_F) ... 1.2217 states/eV/atom
Formation energy ... -0.506 eV/atom

***

[2]
Entry from Alexandria: a geometry-optimized SiHgIr2 structure (PBE).

Unit cell a=5.003 b=5.003 c=5.003 alpha=134.32 beta=134.32 gamma=66.59
Element x y z (fractional)
Si 0.000 0.000 0.000
Hg 0.250 0.750 0.500
Ir 0.500 0.500 0.000
Ir 0.750 0.250 0.500

Properties
Total moment ... 0.00 μB/f.u.
E_tot ... -5.3906 eV per atom
Space-group type ... I-4m2 (119)
DOS(E_F) ... 1.1213 states/eV/atom
Energy relative to the elements, uncorrected ... 0.47 eV per atom

***

[3]
Entry from Alexandria: a geometry-optimized CdRe4W structure (PBE).

Unit cell a=5.205 b=5.205 c=5.205 alpha=60.00 beta=60.00 gamma=60.00
Element x y z (fractional)
Cd 0.000 0.000 0.000
Re 0.123 0.626 0.626
Re 0.626 0.123 0.626
Re 0.626 0.626 0.123
Re 0.626 0.626 0.626
W 0.250 0.250 0.250

Properties
Total moment ... 0.00 μB/f.u.
E_tot ... -10.1490 eV per atom
Space-group type ... F-43m (216)
DOS(E_F) ... 0.8676 states/eV/atom
Formation energy ... 0.461 eV/atom

***

[4]
Entry from Alexandria: a geometry-optimized Hf3Si2Ni structure (PBE).

Unit cell a=10.555 b=3.838 c=10.225 alpha=90.00 beta=90.00 gamma=90.00
Element x y z (fractional)
Hf 0.045 0.250 0.120
Hf 0.123 0.750 0.569
Hf 0.206 0.250 0.809
Hf 0.294 0.750 0.309
Hf 0.377 0.250 0.069
Hf 0.455 0.750 0.620
Hf 0.545 0.250 0.380
Hf 0.623 0.750 0.931
Hf 0.706 0.250 0.691
Hf 0.794 0.750 0.191
Hf 0.877 0.250 0.431
Hf 0.955 0.750 0.880
Si 0.024 0.750 0.314
Si 0.192 0.750 0.010
Si 0.308 0.250 0.510
Si 0.476 0.250 0.814
Si 0.524 0.750 0.186
Si 0.692 0.750 0.490
Si 0.808 0.250 0.990
Si 0.976 0.250 0.686
Ni 0.136 0.250 0.365
Ni 0.364 0.750 0.865
Ni 0.636 0.250 0.135
Ni 0.864 0.750 0.635

Properties
Total moment ... 0.00 μB/f.u.
E_tot ... -8.4982 eV per atom
Space-group type ... Pnma (62)
DOS(E_F) ... 0.8011 states/eV/atom
Energy relative to the elements, uncorrected ... -0.75 eV per atom

***

What is the DOS(E_F) in the second record?
1.1213 states/eV/atom

***

What is the E_tot in the first record?
-4.6016 eV per atom